(1)
A relaxed LaSi2IrRh crystal. Source: Alexandria via LeMat-Bulk, functional PBE.

## Properties
ΔE_f (raw) = -1.0680 eV per atom
total energy = -7.47 eV per atom
size of the total moment = 0.0 μB/cell

Geometry as CIF:
```
data_LaSi2IrRh
_chemical_formula_sum 'La1 Si2 Ir1 Rh1'
_cell_length_a 4.142
_cell_length_b 4.142
_cell_length_c 5.945
_cell_angle_alpha 110.38
_cell_angle_beta 110.38
_cell_angle_gamma 90.00
_space_group_name_H-M_alt 'P 1'
_space_group_IT_number 1
_space_group_name_Hall 'P 1'
loop_
_atom_site_label
_atom_site_type_symbol
_atom_site_fract_x
_atom_site_fract_y
_atom_site_fract_z
La1 La 0.000 0.000 0.000
Si1 Si 0.627 0.627 0.255
Si2 Si 0.373 0.373 0.745
Ir1 Ir 0.250 0.750 0.500
Rh1 Rh 0.750 0.250 0.500
```

=====

(2)
A relaxed HoHgF6 crystal. Source: Alexandria via LeMat-Bulk, functional PBE.

## Properties
ΔE_f (raw) = -2.5018 eV per atom
total energy = -4.52 eV per atom
size of the total moment = 2.0 μB/cell

Geometry as CIF:
```
data_HoHgF6
_chemical_formula_sum 'Ho2 Hg2 F12'
_cell_length_a 5.339
_cell_length_b 6.727
_cell_length_c 6.727
_cell_angle_alpha 108.06
_cell_angle_beta 90.00
_cell_angle_gamma 90.00
_space_group_name_H-M_alt 'P 1'
_space_group_IT_number 1
_space_group_name_Hall 'P 1'
loop_
_atom_site_label
_atom_site_type_symbol
_atom_site_fract_x
_atom_site_fract_y
_atom_site_fract_z
Ho1 Ho 0.000 0.250 0.250
Ho2 Ho 0.000 0.750 0.750
Hg1 Hg 0.450 0.750 0.250
Hg2 Hg 0.550 0.250 0.750
F1 F 0.140 0.600 0.400
F2 F 0.140 0.900 0.100
F3 F 0.860 0.100 0.900
F4 F 0.860 0.400 0.600
F5 F 0.299 0.952 0.699
F6 F 0.299 0.548 0.801
F7 F 0.701 0.801 0.548
F8 F 0.701 0.699 0.952
F9 F 0.701 0.048 0.301
F10 F 0.701 0.452 0.199
F11 F 0.299 0.199 0.452
F12 F 0.299 0.301 0.048
```

=====

(3)
A relaxed CoSb2Pt crystal. Source: Alexandria via LeMat-Bulk, functional PBE.

## Properties
ΔE_f (raw) = -0.0393 eV per atom
total energy = -5.39 eV per atom
size of the total moment = 0.8 μB/cell

Geometry as CIF:
```
data_CoSb2Pt
_chemical_formula_sum 'Co1 Sb2 Pt1'
_cell_length_a 4.452
_cell_length_b 4.452
_cell_length_c 6.692
_cell_angle_alpha 70.61
_cell_angle_beta 70.61
_cell_angle_gamma 45.13
_space_group_name_H-M_alt 'P 1'
_space_group_IT_number 1
_space_group_name_Hall 'P 1'
loop_
_atom_site_label
_atom_site_type_symbol
_atom_site_fract_x
_atom_site_fract_y
_atom_site_fract_z
Co1 Co 0.510 0.510 0.528
Pt1 Pt 0.746 0.746 0.711
Sb1 Sb 0.981 0.981 0.893
Sb2 Sb 0.263 0.263 0.369
```

=====

(4)
A relaxed YCuSe2 crystal. Source: Alexandria via LeMat-Bulk, functional PBE.

## Properties
ΔE_f (raw) = -1.0499 eV per atom
total energy = -5.43 eV per atom
size of the total moment = 0.0 μB/cell

Geometry as CIF:
```
data_YCuSe2
_chemical_formula_sum 'Y1 Cu1 Se2'
_cell_length_a 7.654
_cell_length_b 7.654
_cell_length_c 7.654
_cell_angle_alpha 30.85
_cell_angle_beta 30.85
_cell_angle_gamma 30.85
_space_group_name_H-M_alt 'P 1'
_space_group_IT_number 1
_space_group_name_Hall 'P 1'
loop_
_atom_site_label
_atom_site_type_symbol
_atom_site_fract_x
_atom_site_fract_y
_atom_site_fract_z
Cu1 Cu 0.726 0.726 0.726
Se1 Se 0.056 0.056 0.056
Se2 Se 0.226 0.226 0.226
Y1 Y 0.491 0.491 0.491
```

=====

(5)
A relaxed AlGaAsSe2 crystal. Source: Alexandria via LeMat-Bulk, functional PBE.

## Properties
ΔE_f (raw) = 0.1246 eV per atom
total energy = -3.55 eV per atom
size of the total moment = 0.0 μB/cell

Geometry as CIF:
```
data_AlGaAsSe2
_chemical_formula_sum 'Al1 Ga1 As1 Se2'
_cell_length_a 5.004
_cell_length_b 5.004
_cell_length_c 4.852
_cell_angle_alpha 90.00
_cell_angle_beta 90.00
_cell_angle_gamma 90.00
_space_group_name_H-M_alt 'P 1'
_space_group_IT_number 1
_space_group_name_Hall 'P 1'
loop_
_atom_site_label
_atom_site_type_symbol
_atom_site_fract_x
_atom_site_fract_y
_atom_site_fract_z
As1 As 0.000 0.000 0.500
Ga1 Ga 0.500 0.500 0.500
Se1 Se 0.000 0.500 0.000
Se2 Se 0.500 0.000 0.000
Al1 Al 0.000 0.000 0.000
```

=====

(6)
A relaxed BaLa2Ag2 crystal. Source: Alexandria via LeMat-Bulk, functional PBE.

## Properties
total energy = -3.61 eV per atom
size of the total moment = 0.0 μB/cell
energy of formation from the pure elements = -0.571 eV/f.u.

Geometry as CIF:
```
data_BaLa2Ag2
_chemical_formula_sum 'Ba2 La4 Ag4'
_cell_length_a 8.955
_cell_length_b 8.955
_cell_length_c 4.074
_cell_angle_alpha 90.00
_cell_angle_beta 90.00
_cell_angle_gamma 90.00
_space_group_name_H-M_alt 'P 1'
_space_group_IT_number 1
_space_group_name_Hall 'P 1'
loop_
_atom_site_label
_atom_site_type_symbol
_atom_site_fract_x
_atom_site_fract_y
_atom_site_fract_z
Ba1 Ba 0.000 0.000 0.000
Ba2 Ba 0.500 0.500 0.000
Ag1 Ag 0.379 0.879 0.000
Ag2 Ag 0.879 0.621 0.000
Ag3 Ag 0.621 0.121 0.000
Ag4 Ag 0.121 0.379 0.000
La1 La 0.160 0.660 0.500
La2 La 0.660 0.840 0.500
La3 La 0.840 0.340 0.500
La4 La 0.340 0.160 0.500
```

=====

(7)
A relaxed ScGaPt crystal. Source: Alexandria via LeMat-Bulk, functional PBE.

## Properties
total energy = -5.99 eV per atom
size of the total moment = 0.0 μB/cell
energy of formation from the pure elements = -2.565 eV/f.u.

Geometry as CIF:
```
data_ScGaPt
_chemical_formula_sum 'Sc1 Ga1 Pt1'
_cell_length_a 3.455
_cell_length_b 3.455
_cell_length_c 5.012
_cell_angle_alpha 110.16
_cell_angle_beta 110.16
_cell_angle_gamma 90.00
_space_group_name_H-M_alt 'P 1'
_space_group_IT_number 1
_space_group_name_Hall 'P 1'
loop_
_atom_site_label
_atom_site_type_symbol
_atom_site_fract_x
_atom_site_fract_y
_atom_site_fract_z
Sc1 Sc 0.613 0.613 0.227
Pt1 Pt 0.944 0.944 0.888
Ga1 Ga 0.293 0.293 0.585
```

=====

(8)
A relaxed Mg2Al3VS8 crystal. Source: Alexandria via LeMat-Bulk, functional PBE.

## Properties
ΔE_f (raw) = -1.1219 eV per atom
total energy = -5.16 eV per atom
size of the total moment = 2.0 μB/cell

Geometry as CIF:
```
data_Mg2Al3VS8
_chemical_formula_sum 'Mg2 Al3 V1 S8'
_cell_length_a 7.239
_cell_length_b 7.256
_cell_length_c 7.237
_cell_angle_alpha 60.11
_cell_angle_beta 59.98
_cell_angle_gamma 60.09
_space_group_name_H-M_alt 'P 1'
_space_group_IT_number 1
_space_group_name_Hall 'P 1'
loop_
_atom_site_label
_atom_site_type_symbol
_atom_site_fract_x
_atom_site_fract_y
_atom_site_fract_z
Mg1 Mg 0.875 0.876 0.875
Mg2 Mg 0.125 0.124 0.125
Al1 Al 0.500 0.500 0.500
Al2 Al 0.500 0.500 0.000
Al3 Al 0.000 0.500 0.500
V1 V 0.500 0.000 0.500
S1 S 0.739 0.736 0.739
S2 S 0.261 0.264 0.714
S3 S 0.262 0.714 0.262
S4 S 0.714 0.264 0.261
S5 S 0.738 0.286 0.738
S6 S 0.286 0.736 0.739
S7 S 0.261 0.264 0.261
S8 S 0.739 0.736 0.286
```

=====

(9)
A relaxed NaAgSnF6 crystal. Source: Alexandria via LeMat-Bulk, functional PBE.

## Properties
ΔE_f (raw) = -2.2743 eV per atom
total energy = -4.43 eV per atom
size of the total moment = 0.2 μB/cell

Geometry as CIF:
```
data_NaAgSnF6
_chemical_formula_sum 'Na2 Ag2 Sn2 F12'
_cell_length_a 5.855
_cell_length_b 5.855
_cell_length_c 9.822
_cell_angle_alpha 90.00
_cell_angle_beta 90.00
_cell_angle_gamma 120.00
_space_group_name_H-M_alt 'P 1'
_space_group_IT_number 1
_space_group_name_Hall 'P 1'
loop_
_atom_site_label
_atom_site_type_symbol
_atom_site_fract_x
_atom_site_fract_y
_atom_site_fract_z
Na1 Na 0.333 0.667 0.250
Na2 Na 0.667 0.333 0.750
Ag1 Ag 0.000 0.000 0.000
Ag2 Ag 0.000 0.000 0.500
Sn1 Sn 0.667 0.333 0.250
Sn2 Sn 0.333 0.667 0.750
F1 F 0.658 0.615 0.137
F2 F 0.958 0.342 0.137
F3 F 0.342 0.958 0.637
F4 F 0.042 0.658 0.863
F5 F 0.385 0.342 0.363
F6 F 0.958 0.615 0.363
F7 F 0.615 0.958 0.863
F8 F 0.658 0.042 0.363
F9 F 0.042 0.385 0.637
F10 F 0.385 0.042 0.137
F11 F 0.615 0.658 0.637
F12 F 0.342 0.385 0.863
```

=====

(10)
A relaxed ScC3 crystal. Source: Alexandria via LeMat-Bulk, functional PBE.

## Properties
total energy = -8.16 eV per atom
size of the total moment = 0.0 μB/cell
energy of formation from the pure elements = 1.364 eV/f.u.

Geometry as CIF:
```
data_ScC3
_chemical_formula_sum 'Sc1 C3'
_cell_length_a 4.138
_cell_length_b 4.138
_cell_length_c 4.138
_cell_angle_alpha 107.72
_cell_angle_beta 131.03
_cell_angle_gamma 92.24
_space_group_name_H-M_alt 'P 1'
_space_group_IT_number 1
_space_group_name_Hall 'P 1'
loop_
_atom_site_label
_atom_site_type_symbol
_atom_site_fract_x
_atom_site_fract_y
_atom_site_fract_z
Sc1 Sc 0.458 0.000 0.458
C1 C 0.229 0.271 0.958
C2 C 0.687 0.729 0.958
C3 C 0.458 0.500 0.958
```